# Re2RhS

A relaxed structure of Re2RhS (GGA-PBE, Alexandria).

Summary:
- energy (Ha/atom) = -0.3030
- M_tot (μB/f.u.) = 0.0
- crystal system = tetragonal

Cell lengths 5.4654, 5.4654, 6.5112 Å; angles 65.19, 65.19, 90.00 degrees
With the nearest neighbours (Å) after each atom.
Positions (direct):
Re  0.1488  0.6250  0.2500  2 S 2.26, 2 Rh 2.41
Re  0.3750  0.3988  0.7500  2 S 2.26, 2 Rh 2.41
Re  0.8750  0.8512  0.7500  2 S 2.26, 2 Rh 2.41
Re  0.6012  0.1250  0.2500  2 S 2.26, 2 Rh 2.41
Rh  0.7500  0.2500  0.5000  4 Re 2.41
Rh  0.0000  0.0000  0.0000  4 Re 2.41
S  0.5000  0.5000  0.0000  4 Re 2.26
S  0.2500  0.7500  0.5000  4 Re 2.26